No. 1
The following is a DFT calculation (PBE) of crystalline La2TbI6 at its relaxed geometry.

**Total DFT energy (no corrections)**: -3.870 eV/atom
**Total magnetic moment**: 1.83 μB per cell
**Volume**: 43.9 Å³ per atom
**Raw formation energy**: -1227 meV per atom

Lattice parameters (Å, degrees): 8.0469 8.0469 12.2014 90.00 90.00 90.00
Element x y z (fractional)
La1 0.5000 0.5000 0.3379
La2 0.5000 0.5000 0.6621
La3 0.0000 0.0000 0.1621
La4 0.0000 0.0000 0.8379
Tb1 0.5000 0.5000 0.0000
Tb2 0.0000 0.0000 0.5000
I1 0.7111 0.7111 0.1619
I2 0.7111 0.7111 0.8381
I3 0.7265 0.7265 0.5000
I4 0.7735 0.2265 0.0000
I5 0.7889 0.2111 0.3381
I6 0.7889 0.2111 0.6619
I7 0.2111 0.7889 0.3381
I8 0.2111 0.7889 0.6619
I9 0.2265 0.7735 0.0000
I10 0.2735 0.2735 0.5000
I11 0.2889 0.2889 0.1619
I12 0.2889 0.2889 0.8381



No. 2
The following is a DFT calculation (PBE) of crystalline NaTaAg2Te4 at its relaxed geometry.

**Total DFT energy (no corrections)**: -4.146 eV/atom
**Total magnetic moment**: 0.00 μB per cell
**Volume**: 36.5 Å³ per atom
**Raw formation energy**: -216 meV per atom

Lattice parameters (Å, degrees): 6.7305 7.6275 7.6275 59.96 63.82 63.82
Element x y z (fractional)
Na1 0.5000 0.0000 0.0000
Ta1 0.5000 0.5000 0.5000
Ag1 0.0000 0.3148 0.6852
Ag2 0.0000 0.6852 0.3148
Te1 0.1497 0.8512 0.4527
Te2 0.8503 0.5473 0.1488
Te3 0.5465 0.4527 0.8512
Te4 0.4535 0.1488 0.5473